Material: ErLuGePt
Method: DFT, PBE
State: optimized geometry

Results
- Spin magnetization: 0.00 μB/f.u.
- ΔE_f: -93.4 kJ/mol of atoms
- E_tot: -5.90 eV per atom

Cell: 4.9360 4.9360 4.9360 Å, 60.00 60.00 60.00°
Sites, in units of the cell vectors:
Pt1 0.7500 0.7500 0.7500
Er1 0.0000 0.0000 0.0000
Lu1 0.5000 0.5000 0.5000
Ge1 0.2500 0.2500 0.2500